Record 1
Below is Li6Mn3CoO10 after structural relaxation, with properties calculated at the PBE with a Hubbard U level.

Results
For the energy above the most stable polymorph in this dataset, the calculation gives 24 meV/atom. The spin magnetization comes out at 10.0 μB/f.u.

Cell and atoms, written as POSCAR:
```
Li6Mn3CoO10
1.0
4.4702 -7.7526 -5.8598
6.3286 -5.6568 -6.5095
3.6815 -2.0021 4.0722
Co Mn O Li
1 3 10 6
Cartesian
10.8121 -11.8776 -7.3896
7.2154 -6.9192 -1.6820
3.5987 -3.4407 -0.8058
3.7540 -2.0943 3.9821
11.6974 -13.0652 -8.6886
4.5588 -4.6936 -2.1013
8.2229 -9.7532 -7.9428
9.8518 -12.1780 -11.1056
8.2631 -8.2803 -3.0761
9.9135 -10.6985 -6.1560
6.2271 -5.6053 -0.2703
4.5379 -3.1704 2.7527
2.8563 -2.3855 0.4748
6.2232 -7.1479 -5.2581
1.9753 -1.2027 1.7704
8.9427 -10.8590 -9.4509
5.4044 -5.9463 -3.7238
5.4550 -4.4324 1.3049
9.0933 -9.4780 -4.5650
7.2428 -8.4788 -6.6350
```

***

Record 2
Below is Li7Mn4CoO12 after structural relaxation, with properties calculated at the PBE with a Hubbard U level.

Results
For the energy above the most stable polymorph in this dataset, the calculation gives 92 meV/atom. The spin magnetization comes out at 12.0 μB/f.u.

Cell and atoms, written as POSCAR:
```
Li7Mn4CoO12
1.0
-1.6764 1.6958 -1.7312
-1.2776 -4.7251 -3.3914
-10.3489 -4.9185 5.2035
Li O Mn Co
7 12 4 1
Cartesian
-7.0943 -4.0482 2.9044
-4.3992 -5.5118 -1.1392
-0.8003 -2.4445 -1.6196
-3.4525 -3.1476 -2.2480
-10.5423 -7.2066 0.6414
-2.7824 -0.7298 -0.5283
-6.6462 -3.9377 0.0708
-2.8013 -5.1386 -2.3211
-8.8153 -4.5424 4.0869
-9.2648 -6.8113 2.2995
-11.3956 -5.1290 3.5030
-4.4889 -1.3137 0.5522
-5.3709 -3.4819 1.7902
-6.2148 -6.1638 -0.0197
-8.3294 -4.4528 1.1962
-5.0267 -3.3927 -0.9636
-1.8466 -2.8162 -3.4783
-8.8157 -6.7420 -0.5754
-2.3884 -2.8011 -0.4311
-9.8647 -4.8042 2.3386
-1.3324 -4.6956 -3.3095
-7.7421 -6.4820 1.1475
-3.8132 -3.2045 0.5535
-6.0001 -1.6313 1.7045
```

***

Record 3
Below is Li7Mn4CoO12 after structural relaxation, with properties calculated at the PBE with a Hubbard U level.

Results
For the energy above the most stable polymorph in this dataset, the calculation gives 15 meV/atom. The spin magnetization comes out at 15.9 μB/f.u.

Cell and atoms, written as POSCAR:
```
Li7Mn4CoO12
1.0
-0.9975 -3.7199 4.5419
-3.2506 -4.9516 -2.7602
3.7811 -5.3892 0.2510
O Li Mn Co
12 7 4 1
Cartesian
-2.8668 -8.4872 0.1203
2.0027 -7.3922 4.0436
1.9204 -8.2374 1.5565
1.4433 -9.9771 3.6353
-2.4085 -5.9458 0.6279
-0.7070 -9.2287 1.9258
-1.8856 -3.9607 -1.8169
0.4344 -4.6547 0.0253
-0.3304 -7.5438 -0.2451
-0.7375 -10.5478 -0.7563
0.6401 -1.7466 0.7030
-0.2821 -6.6874 2.4115
-1.0550 -5.7213 -0.9899
-0.5560 -2.9571 -0.4912
-1.0384 -4.7287 1.6976
0.5476 -9.3208 0.2556
0.0806 -11.1987 2.5853
-1.6277 -8.4740 -1.5085
-2.0623 -10.4222 0.7798
0.5256 -10.3508 -2.4839
0.5702 -8.3458 3.0485
-3.7240 -6.8008 -0.5025
-1.5507 -7.5858 1.2387
1.0597 -6.4559 0.7408
```

***

Record 4
Below is Li4MnCo3P4O16 after structural relaxation, with properties calculated at the PBE with a Hubbard U level.

Results
The spin magnetization comes out at 4.0 μB/f.u. The total energy comes out at -189.15 eV for the cell shown.

Cell and atoms, written as POSCAR:
```
Li4MnCo3P4O16
1.0
-4.0178 -0.9307 4.3978
0.7309 -4.7000 -0.3268
7.5545 0.7025 7.0504
O Li Mn P Co
16 4 1 4 3
Cartesian
-1.1674 -3.7373 2.2753
0.6083 -1.4284 1.9528
4.3783 -0.7846 5.5317
2.7156 -3.8248 5.8043
2.0110 -1.3330 8.1229
1.1812 -1.2812 4.9407
7.4068 -0.7116 6.6162
-1.7575 -1.9764 4.5423
5.6321 -3.0668 6.9389
1.2395 -3.4216 0.4083
3.6157 -0.6535 3.1650
3.9888 -3.4475 8.7376
4.9794 -1.0473 8.4603
1.9193 -3.6594 3.4356
0.2897 -4.0369 5.2193
5.1063 -3.1750 3.9931
1.1641 -2.6841 6.6874
3.1660 -2.2204 4.4961
6.5276 0.4664 8.1252
4.5153 0.0003 10.3278
2.8335 -4.4162 1.6541
4.5819 0.0084 4.1878
5.2439 -2.5620 8.3813
1.7356 -4.4659 4.7733
0.9915 -1.9104 0.5015
3.4626 -0.0155 7.2929
-0.0014 -2.5819 3.5851
6.2730 -1.9029 5.3282
```